Density functional theory data (PBE) for Zr2HgPd6 after structural relaxation.

The crystal system is monoclinic. The formation energy is -0.43 eV/atom.

abc: 2.913 8.419 7.847
angles: 122.44 100.78 90.00
Fractional coordinates of all 9 atoms:
1 Zr 0.160 0.659 0.319
2 Zr 0.840 0.341 0.681
3 Hg 0.000 0.000 0.000
4 Pd 0.176 0.348 0.352
5 Pd 0.824 0.995 0.648
6 Pd 0.824 0.652 0.648
7 Pd 0.500 0.324 0.000
8 Pd 0.176 0.005 0.352
9 Pd 0.500 0.676 0.000

Density functional theory data (PBE) for K4NpSc3Se8 after structural relaxation.

For the uncorrected formation energy, the calculation gives -24.26 eV/f.u. The crystal system is trigonal.

abc: 8.164 8.976 8.164
angles: 117.06 120.00 90.00
Each line ends with the local moment (μB).
Fractional coordinates of all 16 atoms:
1 K 0.500 0.000 0.000  0.00
2 K 0.500 0.000 0.500  0.00
3 K 0.000 0.000 0.000  0.00
4 K 0.000 0.000 0.500  0.00
5 Np 0.000 0.500 0.000  3.82
6 Sc 0.500 0.500 0.000  0.07
7 Sc 0.500 0.500 0.500  0.07
8 Sc 0.000 0.500 0.500  0.07
9 Se 0.240 0.699 0.960  -0.03
10 Se 0.240 0.699 0.479  -0.03
11 Se 0.268 0.305 0.537  0.00
12 Se 0.720 0.699 0.960  -0.03
13 Se 0.280 0.301 0.040  -0.03
14 Se 0.732 0.695 0.463  0.00
15 Se 0.760 0.301 0.521  -0.03
16 Se 0.760 0.301 0.040  -0.03

Please write out number 2 again, unchanged.
Density functional theory data (PBE) for K4NpSc3Se8 after structural relaxation.

For the uncorrected formation energy, the calculation gives -24.26 eV/f.u. The crystal system is trigonal.

abc: 8.164 8.976 8.164
angles: 117.06 120.00 90.00
Each line ends with the local moment (μB).
Fractional coordinates of all 16 atoms:
1 K 0.500 0.000 0.000  0.00
2 K 0.500 0.000 0.500  0.00
3 K 0.000 0.000 0.000  0.00
4 K 0.000 0.000 0.500  0.00
5 Np 0.000 0.500 0.000  3.82
6 Sc 0.500 0.500 0.000  0.07
7 Sc 0.500 0.500 0.500  0.07
8 Sc 0.000 0.500 0.500  0.07
9 Se 0.240 0.699 0.960  -0.03
10 Se 0.240 0.699 0.479  -0.03
11 Se 0.268 0.305 0.537  0.00
12 Se 0.720 0.699 0.960  -0.03
13 Se 0.280 0.301 0.040  -0.03
14 Se 0.732 0.695 0.463  0.00
15 Se 0.760 0.301 0.521  -0.03
16 Se 0.760 0.301 0.040  -0.03